Record 1
{"formula": "TbBeCdCu", "functional": "GGA-PBE", "state": "optimized geometry", "final_energy_ha_per_atom": -0.125, "magnetic_moment_mub_per_cell": 0.00, "formation_energy_ev_per_atom": -0.06, "mass_density_g_cm3": 8.1, "lattice_angstrom": [[0.000, 3.279, 3.279], [3.279, 0.000, 3.279], [3.279, 3.279, 0.000]], "species": ["Tb", "Be", "Cd", "Cu"], "frac_coords": [[0.000, 0.000, 0.000], [0.750, 0.750, 0.750], [0.500, 0.500, 0.500], [0.250, 0.250, 0.250]]}

***

Record 2
{"formula": "TiBeCdCu", "functional": "GGA-PBE", "state": "optimized geometry", "final_energy_ha_per_atom": -0.151, "magnetic_moment_mub_per_cell": 0.00, "formation_energy_ev_per_atom": 0.06, "mass_density_g_cm3": 6.7, "lattice_angstrom": [[0.000, 3.061, 3.061], [3.061, 0.000, 3.061], [3.061, 3.061, 0.000]], "species": ["Ti", "Be", "Cd", "Cu"], "frac_coords": [[0.000, 0.000, 0.000], [0.250, 0.250, 0.250], [0.500, 0.500, 0.500], [0.750, 0.750, 0.750]]}

***

Record 3
{"formula": "BeTlCdCu2", "functional": "GGA-PBE", "state": "optimized geometry", "e_above_lowest_polymorph_ev_per_atom": 0.000, "final_energy_ha_per_atom": -0.097, "magnetic_moment_mub_per_cell": 0.00, "formation_energy_ev_per_atom": 0.41, "mass_density_g_cm3": 8.3, "lattice_angstrom": [[4.398, 0.000, 0.000], [0.000, 4.398, 0.000], [0.000, 0.000, 4.706]], "species": ["Be", "Tl", "Cd", "Cu", "Cu"], "frac_coords": [[0.000, 0.000, 0.000], [0.500, 0.500, 0.500], [0.000, 0.000, 0.500], [0.000, 0.500, 0.000], [0.500, 0.000, 0.000]]}

***

Record 4
{"formula": "BeTlCdCu2", "functional": "GGA-PBE", "state": "optimized geometry", "e_above_lowest_polymorph_ev_per_atom": 0.411, "final_energy_ha_per_atom": -0.082, "magnetic_moment_mub_per_cell": 0.00, "formation_energy_ev_per_atom": 0.82, "mass_density_g_cm3": 6.8, "lattice_angstrom": [[4.931, 0.000, 0.000], [0.000, 4.931, 0.000], [0.000, 0.000, 4.556]], "species": ["Be", "Tl", "Cd", "Cu", "Cu"], "frac_coords": [[0.000, 0.000, 0.000], [0.500, 0.500, 0.000], [0.000, 0.000, 0.500], [0.000, 0.500, 0.500], [0.500, 0.000, 0.500]]}

***

Record 5
{"formula": "YBeCdCu", "functional": "GGA-PBE", "state": "optimized geometry", "final_energy_ha_per_atom": -0.142, "magnetic_moment_mub_per_cell": 0.00, "formation_energy_ev_per_atom": -0.07, "mass_density_g_cm3": 6.5, "lattice_angstrom": [[0.000, 3.276, 3.276], [3.276, 0.000, 3.276], [3.276, 3.276, 0.000]], "species": ["Y", "Be", "Cd", "Cu"], "frac_coords": [[0.000, 0.000, 0.000], [0.750, 0.750, 0.750], [0.500, 0.500, 0.500], [0.250, 0.250, 0.250]]}

***

Record 6
{"formula": "Dy2BeCd", "functional": "GGA-PBE", "state": "optimized geometry", "e_above_lowest_polymorph_ev_per_atom": 0.439, "final_energy_ha_per_atom": -0.115, "magnetic_moment_mub_per_cell": 0.00, "formation_energy_ev_per_atom": 0.32, "mass_density_g_cm3": 7.1, "lattice_angstrom": [[1.693, 0.977, 10.512], [-1.693, 0.977, 10.512], [0.000, -1.955, 10.512]], "species": ["Dy", "Dy", "Be", "Cd"], "frac_coords": [[0.104, 0.104, 0.104], [0.896, 0.896, 0.896], [0.500, 0.500, 0.500], [0.000, 0.000, 0.000]]}

***

Record 7
{"formula": "Dy2BeCd", "functional": "GGA-PBE", "state": "optimized geometry", "e_above_lowest_polymorph_ev_per_atom": 0.079, "final_energy_ha_per_atom": -0.129, "magnetic_moment_mub_per_cell": 0.00, "formation_energy_ev_per_atom": -0.04, "mass_density_g_cm3": 7.9, "lattice_angstrom": [[0.000, 3.601, 3.601], [3.601, 0.000, 3.601], [3.601, 3.601, 0.000]], "species": ["Dy", "Dy", "Be", "Cd"], "frac_coords": [[0.250, 0.250, 0.250], [0.750, 0.750, 0.750], [0.000, 0.000, 0.000], [0.500, 0.500, 0.500]]}

***

Record 8
{"formula": "Dy2BeCd", "functional": "GGA-PBE", "state": "optimized geometry", "e_above_lowest_polymorph_ev_per_atom": 0.000, "final_energy_ha_per_atom": -0.132, "magnetic_moment_mub_per_cell": 0.00, "formation_energy_ev_per_atom": -0.12, "mass_density_g_cm3": 8.1, "lattice_angstrom": [[3.469, 0.000, 0.000], [0.000, 3.469, 0.000], [0.000, 0.000, 7.558]], "species": ["Dy", "Dy", "Be", "Cd"], "frac_coords": [[0.000, 0.000, 0.216], [0.000, 0.000, 0.784], [0.500, 0.500, 0.000], [0.500, 0.500, 0.500]]}

***

Record 9
{"formula": "DyErBeCd", "functional": "GGA-PBE", "state": "optimized geometry", "final_energy_ha_per_atom": -0.128, "magnetic_moment_mub_per_cell": 0.00, "formation_energy_ev_per_atom": -0.04, "mass_density_g_cm3": 8.1, "lattice_angstrom": [[0.000, 3.586, 3.586], [3.586, 0.000, 3.586], [3.586, 3.586, 0.000]], "species": ["Dy", "Er", "Be", "Cd"], "frac_coords": [[0.000, 0.000, 0.000], [0.500, 0.500, 0.500], [0.250, 0.250, 0.250], [0.750, 0.750, 0.750]]}

***

Record 10
{"formula": "DyHoBeCd", "functional": "GGA-PBE", "state": "optimized geometry", "final_energy_ha_per_atom": -0.128, "magnetic_moment_mub_per_cell": 0.00, "formation_energy_ev_per_atom": -0.04, "mass_density_g_cm3": 8.0, "lattice_angstrom": [[0.000, 3.594, 3.594], [3.594, 0.000, 3.594], [3.594, 3.594, 0.000]], "species": ["Dy", "Ho", "Be", "Cd"], "frac_coords": [[0.000, 0.000, 0.000], [0.500, 0.500, 0.500], [0.250, 0.250, 0.250], [0.750, 0.750, 0.750]]}

***

Record 11
{"formula": "LiDyBeCd", "functional": "GGA-PBE", "state": "optimized geometry", "final_energy_ha_per_atom": -0.105, "magnetic_moment_mub_per_cell": 0.00, "formation_energy_ev_per_atom": -0.07, "mass_density_g_cm3": 6.8, "lattice_angstrom": [[0.000, 3.290, 3.290], [3.290, 0.000, 3.290], [3.290, 3.290, 0.000]], "species": ["Li", "Dy", "Be", "Cd"], "frac_coords": [[0.000, 0.000, 0.000], [0.750, 0.750, 0.750], [0.500, 0.500, 0.500], [0.250, 0.250, 0.250]]}

***

Record 12
{"formula": "Dy2Be2CdPd5", "functional": "GGA-PBE", "state": "optimized geometry", "final_energy_ha_per_atom": -0.187, "magnetic_moment_mub_per_cell": 0.00, "formation_energy_ev_per_atom": -0.73, "mass_density_g_cm3": 9.9, "lattice_angstrom": [[9.697, 0.000, 0.000], [0.000, 9.697, 0.000], [0.000, 0.000, 3.508]], "species": ["Dy", "Dy", "Dy", "Dy", "Be", "Be", "Be", "Be", "Cd", "Cd", "Pd", "Pd", "Pd", "Pd", "Pd", "Pd", "Pd", "Pd", "Pd", "Pd"], "frac_coords": [[0.178, 0.322, 0.000], [0.322, 0.822, 0.000], [0.678, 0.178, 0.000], [0.822, 0.678, 0.000], [0.117, 0.617, 0.000], [0.383, 0.117, 0.000], [0.617, 0.883, 0.000], [0.883, 0.383, 0.000], [0.000, 0.000, 0.000], [0.500, 0.500, 0.000], [0.000, 0.500, 0.500], [0.070, 0.780, 0.500], [0.220, 0.070, 0.500], [0.280, 0.570, 0.500], [0.430, 0.280, 0.500], [0.500, 0.000, 0.500], [0.570, 0.720, 0.500], [0.720, 0.430, 0.500], [0.780, 0.930, 0.500], [0.930, 0.220, 0.500]]}

***

Record 13
{"formula": "Dy2Be3CdPt4", "functional": "GGA-PBE", "state": "optimized geometry", "final_energy_ha_per_atom": -0.197, "magnetic_moment_mub_per_cell": 0.00, "formation_energy_ev_per_atom": -0.81, "mass_density_g_cm3": 12.3, "lattice_angstrom": [[4.011, 0.000, 0.000], [0.000, 4.011, 0.000], [0.000, 0.000, 10.471]], "species": ["Dy", "Dy", "Be", "Be", "Be", "Cd", "Pt", "Pt", "Pt", "Pt"], "frac_coords": [[0.000, 0.500, 0.232], [0.500, 0.000, 0.768], [0.000, 0.500, 0.887], [0.500, 0.000, 0.113], [0.500, 0.500, 0.500], [0.000, 0.000, 0.500], [0.000, 0.000, 0.000], [0.000, 0.500, 0.670], [0.500, 0.000, 0.330], [0.500, 0.500, 0.000]]}

***

Record 14
{"formula": "DyScBeCd", "functional": "GGA-PBE", "state": "optimized geometry", "final_energy_ha_per_atom": -0.145, "magnetic_moment_mub_per_cell": 0.00, "formation_energy_ev_per_atom": -0.05, "mass_density_g_cm3": 6.4, "lattice_angstrom": [[0.000, 3.497, 3.497], [3.497, 0.000, 3.497], [3.497, 3.497, 0.000]], "species": ["Dy", "Sc", "Be", "Cd"], "frac_coords": [[0.000, 0.000, 0.000], [0.500, 0.500, 0.500], [0.750, 0.750, 0.750], [0.250, 0.250, 0.250]]}

***

Record 15
{"formula": "SmDyBeCd", "functional": "GGA-PBE", "state": "optimized geometry", "final_energy_ha_per_atom": -0.129, "magnetic_moment_mub_per_cell": 0.00, "formation_energy_ev_per_atom": -0.02, "mass_density_g_cm3": 7.5, "lattice_angstrom": [[0.000, 3.639, 3.639], [3.639, 0.000, 3.639], [3.639, 3.639, 0.000]], "species": ["Sm", "Dy", "Be", "Cd"], "frac_coords": [[0.000, 0.000, 0.000], [0.500, 0.500, 0.500], [0.250, 0.250, 0.250], [0.750, 0.750, 0.750]]}

***

Record 16
{"formula": "TbDyBeCd", "functional": "GGA-PBE", "state": "optimized geometry", "final_energy_ha_per_atom": -0.129, "magnetic_moment_mub_per_cell": 0.00, "formation_energy_ev_per_atom": -0.04, "mass_density_g_cm3": 7.8, "lattice_angstrom": [[0.000, 3.610, 3.610], [3.610, 0.000, 3.610], [3.610, 3.610, 0.000]], "species": ["Tb", "Dy", "Be", "Cd"], "frac_coords": [[0.000, 0.000, 0.000], [0.500, 0.500, 0.500], [0.750, 0.750, 0.750], [0.250, 0.250, 0.250]]}

***

Record 17
{"formula": "DyTmBeCd", "functional": "GGA-PBE", "state": "optimized geometry", "final_energy_ha_per_atom": -0.128, "magnetic_moment_mub_per_cell": 0.00, "formation_energy_ev_per_atom": -0.04, "mass_density_g_cm3": 8.2, "lattice_angstrom": [[0.000, 3.577, 3.577], [3.577, 0.000, 3.577], [3.577, 3.577, 0.000]], "species": ["Dy", "Tm", "Be", "Cd"], "frac_coords": [[0.000, 0.000, 0.000], [0.500, 0.500, 0.500], [0.250, 0.250, 0.250], [0.750, 0.750, 0.750]]}

***

Record 18
{"formula": "GdErBeCd", "functional": "GGA-PBE", "state": "optimized geometry", "final_energy_ha_per_atom": -0.215, "magnetic_moment_mub_per_cell": 7.67, "formation_energy_ev_per_atom": -0.04, "mass_density_g_cm3": 7.9, "lattice_angstrom": [[0.000, 3.603, 3.603], [3.603, 0.000, 3.603], [3.603, 3.603, 0.000]], "species": ["Gd", "Er", "Be", "Cd"], "frac_coords": [[0.000, 0.000, 0.000], [0.500, 0.500, 0.500], [0.750, 0.750, 0.750], [0.250, 0.250, 0.250]]}

***

Record 19
{"formula": "LiErBeCd", "functional": "GGA-PBE", "state": "optimized geometry", "final_energy_ha_per_atom": -0.105, "magnetic_moment_mub_per_cell": 0.00, "formation_energy_ev_per_atom": -0.07, "mass_density_g_cm3": 7.0, "lattice_angstrom": [[0.000, 3.269, 3.269], [3.269, 0.000, 3.269], [3.269, 3.269, 0.000]], "species": ["Li", "Er", "Be", "Cd"], "frac_coords": [[0.000, 0.000, 0.000], [0.750, 0.750, 0.750], [0.500, 0.500, 0.500], [0.250, 0.250, 0.250]]}

***

Record 20
{"formula": "ErMgBeCd", "functional": "GGA-PBE", "state": "optimized geometry", "final_energy_ha_per_atom": -0.100, "magnetic_moment_mub_per_cell": 0.00, "formation_energy_ev_per_atom": -0.02, "mass_density_g_cm3": 6.5, "lattice_angstrom": [[0.000, 3.421, 3.421], [3.421, 0.000, 3.421], [3.421, 3.421, 0.000]], "species": ["Er", "Mg", "Be", "Cd"], "frac_coords": [[0.000, 0.000, 0.000], [0.500, 0.500, 0.500], [0.250, 0.250, 0.250], [0.750, 0.750, 0.750]]}

***

Record 21
{"formula": "Er2Be2CdPd5", "functional": "GGA-PBE", "state": "optimized geometry", "final_energy_ha_per_atom": -0.187, "magnetic_moment_mub_per_cell": 0.00, "formation_energy_ev_per_atom": -0.74, "mass_density_g_cm3": 10.2, "lattice_angstrom": [[9.659, 0.000, 0.000], [0.000, 9.659, 0.000], [0.000, 0.000, 3.496]], "species": ["Er", "Er", "Er", "Er", "Be", "Be", "Be", "Be", "Cd", "Cd", "Pd", "Pd", "Pd", "Pd", "Pd", "Pd", "Pd", "Pd", "Pd", "Pd"], "frac_coords": [[0.178, 0.322, 0.000], [0.322, 0.822, 0.000], [0.678, 0.178, 0.000], [0.822, 0.678, 0.000], [0.118, 0.618, 0.000], [0.382, 0.118, 0.000], [0.618, 0.882, 0.000], [0.882, 0.382, 0.000], [0.000, 0.000, 0.000], [0.500, 0.500, 0.000], [0.000, 0.500, 0.500], [0.070, 0.781, 0.500], [0.219, 0.070, 0.500], [0.281, 0.570, 0.500], [0.430, 0.281, 0.500], [0.500, 0.000, 0.500], [0.570, 0.719, 0.500], [0.719, 0.430, 0.500], [0.781, 0.930, 0.500], [0.930, 0.219, 0.500]]}

***

Record 22
{"formula": "PmErBeCd", "functional": "GGA-PBE", "state": "optimized geometry", "final_energy_ha_per_atom": -0.129, "magnetic_moment_mub_per_cell": 0.00, "formation_energy_ev_per_atom": -0.02, "mass_density_g_cm3": 7.5, "lattice_angstrom": [[0.000, 3.634, 3.634], [3.634, 0.000, 3.634], [3.634, 3.634, 0.000]], "species": ["Pm", "Er", "Be", "Cd"], "frac_coords": [[0.000, 0.000, 0.000], [0.500, 0.500, 0.500], [0.250, 0.250, 0.250], [0.750, 0.750, 0.750]]}

***

Record 23
{"formula": "ErTmBeCd", "functional": "GGA-PBE", "state": "optimized geometry", "final_energy_ha_per_atom": -0.127, "magnetic_moment_mub_per_cell": 0.00, "formation_energy_ev_per_atom": -0.05, "mass_density_g_cm3": 8.4, "lattice_angstrom": [[0.000, 3.561, 3.561], [3.561, 0.000, 3.561], [3.561, 3.561, 0.000]], "species": ["Er", "Tm", "Be", "Cd"], "frac_coords": [[0.000, 0.000, 0.000], [0.500, 0.500, 0.500], [0.250, 0.250, 0.250], [0.750, 0.750, 0.750]]}

***

Record 24
{"formula": "YErBeCd", "functional": "GGA-PBE", "state": "optimized geometry", "final_energy_ha_per_atom": -0.146, "magnetic_moment_mub_per_cell": 0.00, "formation_energy_ev_per_atom": -0.06, "mass_density_g_cm3": 6.8, "lattice_angstrom": [[0.000, 3.590, 3.590], [3.590, 0.000, 3.590], [3.590, 3.590, 0.000]], "species": ["Y", "Er", "Be", "Cd"], "frac_coords": [[0.000, 0.000, 0.000], [0.500, 0.500, 0.500], [0.750, 0.750, 0.750], [0.250, 0.250, 0.250]]}

***

Record 25
{"formula": "Be3CdF", "functional": "GGA-PBE", "state": "optimized geometry", "e_above_lowest_polymorph_ev_per_atom": 0.000, "final_energy_ha_per_atom": -0.095, "magnetic_moment_mub_per_cell": 0.00, "mass_density_g_cm3": 4.4, "lattice_angstrom": [[3.907, 0.000, 0.000], [0.000, 3.907, 0.000], [0.000, 0.000, 3.907]], "species": ["Be", "Be", "Be", "Cd", "F"], "frac_coords": [[0.000, 0.000, 0.500], [0.000, 0.500, 0.000], [0.500, 0.000, 0.000], [0.500, 0.500, 0.500], [0.000, 0.000, 0.000]]}

***

Record 26
{"formula": "Be3CdF", "functional": "GGA-PBE", "state": "optimized geometry", "e_above_lowest_polymorph_ev_per_atom": 0.592, "final_energy_ha_per_atom": -0.074, "magnetic_moment_mub_per_cell": 0.00, "mass_density_g_cm3": 2.9, "lattice_angstrom": [[4.512, 0.000, 0.000], [0.000, 4.512, 0.000], [0.000, 0.000, 4.512]], "species": ["Be", "Be", "Be", "Cd", "F"], "frac_coords": [[0.000, 0.000, 0.500], [0.000, 0.500, 0.000], [0.500, 0.000, 0.000], [0.000, 0.000, 0.000], [0.500, 0.500, 0.500]]}